Entry 1:
Material: EuThZnGe
Method: DFT, PBE
State: relaxed

Computed properties:
**Total energy**: -25.04 eV/cell
**Formation enthalpy at 0 K**: -0.364 eV per atom

```
data_EuThZnGe
_chemical_formula_sum 'Eu1 Th1 Zn1 Ge1'
_symmetry_space_group_name_H-M 'P 1'
_symmetry_Int_Tables_number 1
_symmetry_space_group_name_Hall 'P 1'
_cell_length_a 5.2004
_cell_length_b 5.2004
_cell_length_c 5.2004
_cell_angle_alpha 60.00
_cell_angle_beta 60.00
_cell_angle_gamma 60.00
loop_
_atom_site_label
_atom_site_fract_x
_atom_site_fract_y
_atom_site_fract_z
Eu1 0.2500 0.2500 0.2500
Ge1 0.0000 0.0000 0.0000
Th1 0.7500 0.7500 0.7500
Zn1 0.5000 0.5000 0.5000
```

=====

Entry 2:
Material: EuTiGe2
Method: DFT, PBE
State: relaxed

Computed properties:
**Total energy**: -29.31 eV/cell
**Distance to the lowest polymorph of the same formula**: 0.000 eV/atom
**Formation enthalpy at 0 K**: -0.476 eV per atom

```
data_EuTiGe2
_chemical_formula_sum 'Eu1 Ti1 Ge2'
_symmetry_space_group_name_H-M 'P 1'
_symmetry_Int_Tables_number 1
_symmetry_space_group_name_Hall 'P 1'
_cell_length_a 3.5332
_cell_length_b 3.5332
_cell_length_c 6.5284
_cell_angle_alpha 90.00
_cell_angle_beta 90.00
_cell_angle_gamma 90.00
loop_
_atom_site_label
_atom_site_fract_x
_atom_site_fract_y
_atom_site_fract_z
Ti1 0.5000 0.5000 0.0000
Ge1 0.0000 0.0000 0.1944
Ge2 0.0000 0.0000 0.8056
Eu1 0.5000 0.5000 0.5000
```

=====

Entry 3:
Material: EuTiGe2
Method: DFT, PBE
State: relaxed

Computed properties:
**Total energy**: -29.15 eV/cell
**Distance to the lowest polymorph of the same formula**: 0.040 eV/atom
**Formation enthalpy at 0 K**: -0.436 eV per atom

```
data_EuTiGe2
_chemical_formula_sum 'Eu1 Ti1 Ge2'
_symmetry_space_group_name_H-M 'P 1'
_symmetry_Int_Tables_number 1
_symmetry_space_group_name_Hall 'P 1'
_cell_length_a 4.2371
_cell_length_b 4.2371
_cell_length_c 6.2725
_cell_angle_alpha 70.26
_cell_angle_beta 70.26
_cell_angle_gamma 60.00
loop_
_atom_site_label
_atom_site_fract_x
_atom_site_fract_y
_atom_site_fract_z
Ge1 0.7253 0.7253 0.8241
Ge2 0.2747 0.2747 0.1759
Ti1 0.0000 0.0000 0.0000
Eu1 0.5000 0.5000 0.5000
```

=====

Entry 4:
Material: EuTlGe2
Method: DFT, PBE
State: relaxed

Computed properties:
**Total energy**: -22.92 eV/cell
**Formation enthalpy at 0 K**: -0.261 eV per atom

```
data_EuTlGe2
_chemical_formula_sum 'Eu1 Tl1 Ge2'
_symmetry_space_group_name_H-M 'P 1'
_symmetry_Int_Tables_number 1
_symmetry_space_group_name_Hall 'P 1'
_cell_length_a 4.3390
_cell_length_b 4.6665
_cell_length_c 4.6665
_cell_angle_alpha 90.00
_cell_angle_beta 90.00
_cell_angle_gamma 90.00
loop_
_atom_site_label
_atom_site_fract_x
_atom_site_fract_y
_atom_site_fract_z
Eu1 0.5000 0.5000 0.5000
Ge1 0.0000 0.5000 0.0000
Ge2 0.0000 0.0000 0.5000
Tl1 0.5000 0.0000 0.0000
```

=====

Entry 5:
Material: EuYTlGe
Method: DFT, PBE
State: relaxed

Computed properties:
**Total energy**: -25.49 eV/cell
**Formation enthalpy at 0 K**: -0.443 eV per atom

```
data_EuYTlGe
_chemical_formula_sum 'Eu1 Y1 Tl1 Ge1'
_symmetry_space_group_name_H-M 'P 1'
_symmetry_Int_Tables_number 1
_symmetry_space_group_name_Hall 'P 1'
_cell_length_a 5.3287
_cell_length_b 5.3287
_cell_length_c 5.3287
_cell_angle_alpha 60.00
_cell_angle_beta 60.00
_cell_angle_gamma 60.00
loop_
_atom_site_label
_atom_site_fract_x
_atom_site_fract_y
_atom_site_fract_z
Tl1 0.2500 0.2500 0.2500
Ge1 0.7500 0.7500 0.7500
Y1 0.5000 0.5000 0.5000
Eu1 0.0000 0.0000 0.0000
```

=====

Entry 6:
Material: EuTmGe
Method: DFT, PBE
State: relaxed

Computed properties:
**Total energy**: -20.54 eV/cell
**Distance to the lowest polymorph of the same formula**: 0.065 eV/atom
**Formation enthalpy at 0 K**: -0.393 eV per atom

```
data_EuTmGe
_chemical_formula_sum 'Eu1 Tm1 Ge1'
_symmetry_space_group_name_H-M 'P 1'
_symmetry_Int_Tables_number 1
_symmetry_space_group_name_Hall 'P 1'
_cell_length_a 4.3005
_cell_length_b 4.8274
_cell_length_c 4.8274
_cell_angle_alpha 120.00
_cell_angle_beta 90.00
_cell_angle_gamma 90.00
loop_
_atom_site_label
_atom_site_fract_x
_atom_site_fract_y
_atom_site_fract_z
Ge1 0.1485 0.0000 0.0000
Eu1 0.6738 0.6667 0.3333
Tm1 0.1777 0.3333 0.6667
```

=====

Entry 7:
Material: EuTmGe4
Method: DFT, PBE
State: relaxed

Computed properties:
**Total energy**: -35.21 eV/cell
**Formation enthalpy at 0 K**: -0.333 eV per atom

```
data_EuTmGe4
_chemical_formula_sum 'Eu1 Tm1 Ge4'
_symmetry_space_group_name_H-M 'P 1'
_symmetry_Int_Tables_number 1
_symmetry_space_group_name_Hall 'P 1'
_cell_length_a 5.6722
_cell_length_b 5.6722
_cell_length_c 5.6722
_cell_angle_alpha 60.00
_cell_angle_beta 60.00
_cell_angle_gamma 60.00
loop_
_atom_site_label
_atom_site_fract_x
_atom_site_fract_y
_atom_site_fract_z
Ge1 0.1295 0.6235 0.6235
Ge2 0.6235 0.6235 0.1295
Ge3 0.6235 0.1295 0.6235
Ge4 0.6235 0.6235 0.6235
Eu1 0.0000 0.0000 0.0000
Tm1 0.2500 0.2500 0.2500
```

=====

Entry 8:
Material: EuTm2Ge
Method: DFT, PBE
State: relaxed

Computed properties:
**Total energy**: -24.70 eV/cell
**Formation enthalpy at 0 K**: -0.217 eV per atom

```
data_EuTm2Ge
_chemical_formula_sum 'Eu1 Tm2 Ge1'
_symmetry_space_group_name_H-M 'P 1'
_symmetry_Int_Tables_number 1
_symmetry_space_group_name_Hall 'P 1'
_cell_length_a 3.7842
_cell_length_b 3.7842
_cell_length_c 10.2215
_cell_angle_alpha 79.33
_cell_angle_beta 79.33
_cell_angle_gamma 60.00
loop_
_atom_site_label
_atom_site_fract_x
_atom_site_fract_y
_atom_site_fract_z
Tm1 0.2725 0.2725 0.1824
Tm2 0.7275 0.7275 0.8176
Ge1 0.0000 0.0000 0.0000
Eu1 0.5000 0.5000 0.5000
```

=====

Entry 9:
Material: EuTmGe
Method: DFT, PBE
State: relaxed

Computed properties:
**Total energy**: -20.74 eV/cell
**Distance to the lowest polymorph of the same formula**: 0.000 eV/atom
**Formation enthalpy at 0 K**: -0.457 eV per atom

```
data_EuTmGe
_chemical_formula_sum 'Eu1 Tm1 Ge1'
_symmetry_space_group_name_H-M 'P 1'
_symmetry_Int_Tables_number 1
_symmetry_space_group_name_Hall 'P 1'
_cell_length_a 4.9941
_cell_length_b 4.9941
_cell_length_c 4.9941
_cell_angle_alpha 60.00
_cell_angle_beta 60.00
_cell_angle_gamma 60.00
loop_
_atom_site_label
_atom_site_fract_x
_atom_site_fract_y
_atom_site_fract_z
Eu1 0.5000 0.5000 0.5000
Tm1 0.0000 0.0000 0.0000
Ge1 0.2500 0.2500 0.2500
```

=====

Entry 10:
Material: EuYGe4
Method: DFT, PBE
State: relaxed

Computed properties:
**Total energy**: -37.41 eV/cell
**Formation enthalpy at 0 K**: -0.368 eV per atom

```
data_EuYGe4
_chemical_formula_sum 'Eu1 Y1 Ge4'
_symmetry_space_group_name_H-M 'P 1'
_symmetry_Int_Tables_number 1
_symmetry_space_group_name_Hall 'P 1'
_cell_length_a 5.7002
_cell_length_b 5.7002
_cell_length_c 5.7002
_cell_angle_alpha 60.00
_cell_angle_beta 60.00
_cell_angle_gamma 60.00
loop_
_atom_site_label
_atom_site_fract_x
_atom_site_fract_y
_atom_site_fract_z
Ge1 0.6236 0.6236 0.6236
Ge2 0.6236 0.6236 0.1293
Ge3 0.6236 0.1293 0.6236
Ge4 0.1293 0.6236 0.6236
Eu1 0.0000 0.0000 0.0000
Y1 0.2500 0.2500 0.2500
```

=====

Entry 11:
Material: EuYGe
Method: DFT, PBE
State: relaxed

Computed properties:
**Total energy**: -22.85 eV/cell
**Formation enthalpy at 0 K**: -0.498 eV per atom

```
data_EuYGe
_chemical_formula_sum 'Eu1 Y1 Ge1'
_symmetry_space_group_name_H-M 'P 1'
_symmetry_Int_Tables_number 1
_symmetry_space_group_name_Hall 'P 1'
_cell_length_a 5.0420
_cell_length_b 5.0420
_cell_length_c 5.0420
_cell_angle_alpha 60.00
_cell_angle_beta 60.00
_cell_angle_gamma 60.00
loop_
_atom_site_label
_atom_site_fract_x
_atom_site_fract_y
_atom_site_fract_z
Ge1 0.2500 0.2500 0.2500
Eu1 0.0000 0.0000 0.0000
Y1 0.5000 0.5000 0.5000
```

=====

Entry 12:
Material: EuYZnGe
Method: DFT, PBE
State: relaxed

Computed properties:
**Total energy**: -24.58 eV/cell
**Formation enthalpy at 0 K**: -0.488 eV per atom

```
data_EuYZnGe
_chemical_formula_sum 'Eu1 Y1 Zn1 Ge1'
_symmetry_space_group_name_H-M 'P 1'
_symmetry_Int_Tables_number 1
_symmetry_space_group_name_Hall 'P 1'
_cell_length_a 5.1385
_cell_length_b 5.1385
_cell_length_c 5.1385
_cell_angle_alpha 60.00
_cell_angle_beta 60.00
_cell_angle_gamma 60.00
loop_
_atom_site_label
_atom_site_fract_x
_atom_site_fract_y
_atom_site_fract_z
Zn1 0.0000 0.0000 0.0000
Y1 0.2500 0.2500 0.2500
Ge1 0.5000 0.5000 0.5000
Eu1 0.7500 0.7500 0.7500
```

=====

| no. | D(E_F) (states/eV per cell) | size of the total moment (Bohr magnetons per cell) |
| --- | --- | --- |
| 1 | 3.46 | 7.00 |
| 2 | 2.88 | 7.59 |
| 3 | 9.51 | 6.92 |
| 4 | 1.85 | 6.84 |
| 5 | 1.99 | 7.15 |
| 6 | 6.60 | 7.37 |
| 7 | 4.98 | 7.54 |
| 8 | 4.70 | 7.74 |
| 9 | 7.62 | 7.47 |
| 10 | 5.04 | 7.68 |
| 11 | 8.33 | 7.54 |
| 12 | 2.75 | 7.41 |